PrNd6Al after structural relaxation, computed with GGA-PBE.

Values from the calculation:
SG = R-3 (148)
Energy of formation from the pure elements = 0.246 eV/f.u.
Offset from the most stable computed form = 85 meV/atom
Total magnetization = 0.0 Bohr magnetons per cell
E_tot = -4.6104 eV per atom

Cell: 8.7809 8.7838 6.4748 Å, 47.29 47.29 65.56°
Element x y z (fractional)
Pr1 0.5000 0.5000 0.5000
Nd1 0.9613 0.4376 0.8368
Nd2 0.7641 0.0381 0.7607
Nd3 0.4374 0.2358 0.2888
Nd4 0.2359 0.9619 0.2393
Nd5 0.0387 0.5624 0.1632
Nd6 0.5626 0.7642 0.7112
Al1 0.0000 0.0000 0.0000

PrNdAl3 after structural relaxation, computed with GGA-PBE.

Values from the calculation:
SG = Cmcm (63)
Energy of formation from the pure elements = -2.100 eV/f.u.
Total magnetization = 0.6 Bohr magnetons per cell
E_tot = -4.5750 eV per atom

Cell: 4.5967 3.7995 14.2753 Å, 97.65 90.00 90.00°
Element x y z (fractional)
Pr1 0.2500 0.0712 0.1424
Pr2 0.7500 0.9288 0.8576
Nd1 0.2500 0.7909 0.5817
Nd2 0.7500 0.2091 0.4183
Al1 0.2500 0.3820 0.7639
Al2 0.7500 0.6180 0.2361
Al3 0.2500 0.4763 0.9526
Al4 0.7500 0.5237 0.0474
Al5 0.7500 0.3310 0.6621
Al6 0.2500 0.6690 0.3379

PrNd4Al2 after structural relaxation, computed with GGA-PBE.

Values from the calculation:
SG = R-3m (166)
Energy of formation from the pure elements = -1.178 eV/f.u.
Offset from the most stable computed form = 0 meV/atom
Total magnetization = 0.0 Bohr magnetons per cell
E_tot = -4.6449 eV per atom

Cell: 5.4568 5.4568 8.7595 Å, 71.85 71.85 60.00°
Element x y z (fractional)
Pr1 0.0000 0.0000 0.0000
Nd1 0.8471 0.8471 0.4587
Nd2 0.1529 0.1529 0.5413
Nd3 0.5868 0.5868 0.2395
Nd4 0.4132 0.4132 0.7605
Al1 0.7201 0.7201 0.8396
Al2 0.2799 0.2799 0.1604

PrNdScAl after structural relaxation, computed with GGA-PBE.

Values from the calculation:
SG = F-43m (216)
Energy of formation from the pure elements = -0.340 eV/f.u.
Total magnetization = 0.1 Bohr magnetons per cell
E_tot = -4.9904 eV per atom

Cell: 5.3773 5.3773 5.3773 Å, 60.00 60.00 60.00°
Element x y z (fractional)
Pr1 0.2500 0.2500 0.2500
Sc1 0.5000 0.5000 0.5000
Nd1 0.7500 0.7500 0.7500
Al1 0.0000 0.0000 0.0000

PrNdAlSi after structural relaxation, computed with GGA-PBE.

Values from the calculation:
SG = Amm2 (38)
Total magnetization = 0.0 Bohr magnetons per cell
Formation energy from raw total energies = -596 meV per atom
E_tot = -5.2747 eV per atom

Cell: 4.4950 4.0947 6.1148 Å, 90.00 111.56 90.00°
Element x y z (fractional)
Pr1 0.1413 0.0000 0.2826
Nd1 0.8567 0.5000 0.7134
Al1 0.4327 0.0000 0.8655
Si1 0.5693 0.5000 0.1385

PrNdSmAl after structural relaxation, computed with GGA-PBE.

Values from the calculation:
SG = F-43m (216)
Energy of formation from the pure elements = -0.125 eV/f.u.
Total magnetization = 0.0 Bohr magnetons per cell
E_tot = -4.5335 eV per atom

Cell: 5.5106 5.5106 5.5106 Å, 60.00 60.00 60.00°
Element x y z (fractional)
Pr1 0.0000 0.0000 0.0000
Nd1 0.5000 0.5000 0.5000
Al1 0.2500 0.2500 0.2500
Sm1 0.7500 0.7500 0.7500

Pr2Nd3Sm6Al after structural relaxation, computed with GGA-PBE.

Values from the calculation:
SG = C2/m (12)
Energy of formation from the pure elements = -0.126 eV/f.u.
Total magnetization = 0.0 Bohr magnetons per cell
E_tot = -4.6705 eV per atom

Cell: 6.2201 6.2201 11.9173 Å, 95.05 95.05 120.09°
Element x y z (fractional)
Pr1 0.3336 0.6664 0.0000
Pr2 0.6664 0.3336 0.0000
Nd1 0.1687 0.8313 0.5000
Nd2 0.8313 0.1687 0.5000
Nd3 0.5000 0.5000 0.5000
Sm1 0.9193 0.5975 0.7562
Sm2 0.7594 0.7594 0.2453
Sm3 0.0807 0.4025 0.2438
Sm4 0.5975 0.9193 0.7562
Sm5 0.2406 0.2406 0.7547
Sm6 0.4025 0.0807 0.2438
Al1 0.0000 0.0000 0.0000

Pr2Nd6Sm3Al after structural relaxation, computed with GGA-PBE.

Values from the calculation:
SG = C2/m (12)
Energy of formation from the pure elements = -0.099 eV/f.u.
Total magnetization = 0.0 Bohr magnetons per cell
E_tot = -4.6804 eV per atom

Cell: 6.2500 6.2500 11.9532 Å, 95.07 95.07 120.15°
Element x y z (fractional)
Pr1 0.3340 0.6660 0.0000
Pr2 0.6660 0.3340 0.0000
Nd1 0.9189 0.5977 0.7547
Nd2 0.7605 0.7605 0.2469
Nd3 0.0811 0.4023 0.2453
Nd4 0.5977 0.9189 0.7547
Nd5 0.2395 0.2395 0.7531
Nd6 0.4023 0.0811 0.2453
Sm1 0.1684 0.8316 0.5000
Sm2 0.8316 0.1684 0.5000
Sm3 0.5000 0.5000 0.5000
Al1 0.0000 0.0000 0.0000

PrNdYAl after structural relaxation, computed with GGA-PBE.

Values from the calculation:
SG = F-43m (216)
Energy of formation from the pure elements = -0.171 eV/f.u.
Total magnetization = 0.0 Bohr magnetons per cell
E_tot = -4.9813 eV per atom

Cell: 5.4904 5.4904 5.4904 Å, 60.00 60.00 60.00°
Element x y z (fractional)
Pr1 0.2500 0.2500 0.2500
Y1 0.0000 0.0000 0.0000
Nd1 0.7500 0.7500 0.7500
Al1 0.5000 0.5000 0.5000

PrNdAl2Zn2 after structural relaxation, computed with GGA-PBE.

Values from the calculation:
SG = P-3m1 (164)
Energy of formation from the pure elements = -2.498 eV/f.u.
Total magnetization = 0.0 Bohr magnetons per cell
E_tot = -3.6798 eV per atom

Cell: 4.5693 4.5693 7.6263 Å, 90.00 90.00 120.00°
Element x y z (fractional)
Pr1 0.0000 0.0000 0.0000
Nd1 0.0000 0.0000 0.5000
Al1 0.3333 0.6667 0.7420
Al2 0.6667 0.3333 0.2580
Zn1 0.3333 0.6667 0.2612
Zn2 0.6667 0.3333 0.7388

Pr2NdAl2Zn2 after structural relaxation, computed with GGA-PBE.

Values from the calculation:
SG = R-3m (166)
Energy of formation from the pure elements = -2.132 eV/f.u.
Total magnetization = 0.0 Bohr magnetons per cell
E_tot = -3.7846 eV per atom

Cell: 4.5958 4.5958 9.8258 Å, 76.48 76.48 60.00°
Element x y z (fractional)
Pr1 0.1283 0.1283 0.6151
Pr2 0.8717 0.8717 0.3849
Nd1 0.0000 0.0000 0.0000
Al1 0.7342 0.7342 0.7973
Al2 0.2658 0.2658 0.2027
Zn1 0.6016 0.6016 0.1952
Zn2 0.3984 0.3984 0.8048

PrNd2Al2Zn2 after structural relaxation, computed with GGA-PBE.

Values from the calculation:
SG = R-3m (166)
Energy of formation from the pure elements = -2.124 eV/f.u.
Total magnetization = 0.0 Bohr magnetons per cell
E_tot = -3.7817 eV per atom

Cell: 4.5924 4.5924 9.8319 Å, 76.49 76.49 60.00°
Element x y z (fractional)
Pr1 0.0000 0.0000 0.0000
Nd1 0.1290 0.1290 0.6131
Nd2 0.8710 0.8710 0.3869
Al1 0.7366 0.7366 0.7902
Al2 0.2634 0.2634 0.2098
Zn1 0.5980 0.5980 0.2061
Zn2 0.4020 0.4020 0.7939

NdAl3Pt after structural relaxation, computed with GGA-PBE.

Values from the calculation:
SG = Pnma (62)
Energy of formation from the pure elements = -4.132 eV/f.u.
Total magnetization = 0.0 Bohr magnetons per cell
E_tot = -5.2337 eV per atom

Cell: 4.2598 8.4056 11.0644 Å, 90.00 90.00 90.00°
Element x y z (fractional)
Nd1 0.7500 0.8139 0.0152
Nd2 0.2500 0.6861 0.5152
Nd3 0.7500 0.3139 0.4848
Nd4 0.2500 0.1861 0.9848
Al1 0.2500 0.5606 0.0843
Al2 0.7500 0.4394 0.9157
Al3 0.2500 0.0606 0.4157
Al4 0.7500 0.9394 0.5843
Al5 0.2500 0.3817 0.7024
Al6 0.7500 0.1183 0.2024
Al7 0.2500 0.8817 0.7976
Al8 0.7500 0.6415 0.7203
Al9 0.2500 0.3585 0.2797
Al10 0.7500 0.1415 0.7797
Al11 0.7500 0.6183 0.2976
Al12 0.2500 0.8585 0.2203
Pt1 0.2500 0.0949 0.6464
Pt2 0.2500 0.5949 0.8536
Pt3 0.7500 0.4051 0.1464
Pt4 0.7500 0.9051 0.3536

Nd3Al3Pt8 after structural relaxation, computed with GGA-PBE.

Values from the calculation:
SG = Immm (71)
Energy of formation from the pure elements = -13.611 eV/f.u.
Total magnetization = 0.0 Bohr magnetons per cell
E_tot = -6.2477 eV per atom

Cell: 4.3029 8.3751 8.3751 Å, 71.89 75.11 75.11°
Element x y z (fractional)
Nd1 0.5000 0.5000 0.5000
Nd2 0.7940 0.2060 0.2060
Nd3 0.2060 0.7940 0.7940
Al1 0.5000 0.0000 0.0000
Al2 0.0000 0.7755 0.2245
Al3 0.0000 0.2245 0.7755
Pt1 0.6145 0.0837 0.6872
Pt2 0.3855 0.9163 0.3128
Pt3 0.6145 0.6872 0.0837
Pt4 0.3855 0.3128 0.9163
Pt5 0.8343 0.8034 0.5279
Pt6 0.1657 0.1966 0.4721
Pt7 0.8343 0.5279 0.8034
Pt8 0.1657 0.4721 0.1966

NdAl2Pt5 after structural relaxation, computed with GGA-PBE.

Values from the calculation:
SG = Immm (71)
Energy of formation from the pure elements = -7.573 eV/f.u.
Total magnetization = 0.0 Bohr magnetons per cell
E_tot = -6.2538 eV per atom

Cell: 3.9351 6.4701 6.4701 Å, 66.92 72.30 72.30°
Element x y z (fractional)
Nd1 0.0000 0.0000 0.0000
Al1 0.7573 0.7427 0.7427
Al2 0.2427 0.2573 0.2573
Pt1 0.0000 0.5000 0.5000
Pt2 0.6440 0.5554 0.1566
Pt3 0.3560 0.4446 0.8434
Pt4 0.3560 0.8434 0.4446
Pt5 0.6440 0.1566 0.5554

NdAlPt2 after structural relaxation, computed with GGA-PBE.

Values from the calculation:
SG = Pnma (62)
Energy of formation from the pure elements = -4.453 eV/f.u.
Total magnetization = 0.0 Bohr magnetons per cell
E_tot = -6.2613 eV per atom

Cell: 5.8587 7.1118 7.4590 Å, 90.00 90.00 90.00°
Element x y z (fractional)
Nd1 0.3518 0.2500 0.0283
Nd2 0.8518 0.7500 0.4717
Nd3 0.6482 0.7500 0.9717
Nd4 0.1482 0.2500 0.5283
Al1 0.6477 0.2500 0.3823
Al2 0.1477 0.7500 0.1177
Al3 0.3523 0.7500 0.6177
Al4 0.8523 0.2500 0.8823
Pt1 0.9131 0.0529 0.1795
Pt2 0.4131 0.9471 0.3205
Pt3 0.0869 0.5529 0.8205
Pt4 0.5869 0.4471 0.6795
Pt5 0.0869 0.9471 0.8205
Pt6 0.5869 0.0529 0.6795
Pt7 0.9131 0.4471 0.1795
Pt8 0.4131 0.5529 0.3205

Nd2Al6Pt after structural relaxation, computed with GGA-PBE.

Values from the calculation:
SG = P-3m1 (164)
Energy of formation from the pure elements = -5.401 eV/f.u.
Total magnetization = 0.0 Bohr magnetons per cell
E_tot = -4.8259 eV per atom

Cell: 5.8962 5.9402 5.9402 Å, 60.00 90.01 90.01°
Element x y z (fractional)
Nd1 0.8572 0.6666 0.6666
Nd2 0.1428 0.3334 0.3334
Al1 0.3208 0.3453 0.8274
Al2 0.3207 0.8274 0.8274
Al3 0.3208 0.8274 0.3453
Al4 0.6792 0.6547 0.1726
Al5 0.6793 0.1726 0.1726
Al6 0.6792 0.1726 0.6547
Pt1 0.0000 0.0000 0.0000

Nd2Al12Pt7 after structural relaxation, computed with GGA-PBE.

Values from the calculation:
SG = P-6 (174)
Energy of formation from the pure elements = -21.121 eV/f.u.
Total magnetization = 0.0 Bohr magnetons per cell
E_tot = -5.6120 eV per atom

Cell: 4.1986 9.9937 9.9937 Å, 120.00 90.00 90.00°
Element x y z (fractional)
Nd1 0.5000 0.0000 0.0000
Nd2 0.0000 0.6667 0.3333
Al1 0.5000 0.9252 0.6140
Al2 0.5000 0.6888 0.0748
Al3 0.5000 0.3860 0.3112
Al4 0.5000 0.2480 0.7947
Al5 0.5000 0.5467 0.7520
Al6 0.5000 0.2053 0.4533
Al7 0.0000 0.0429 0.5101
Al8 0.0000 0.4672 0.9571
Al9 0.0000 0.4899 0.5328
Al10 0.0000 0.8053 0.7221
Al11 0.0000 0.9168 0.1947
Al12 0.0000 0.2779 0.0832
Pt1 0.0000 0.3333 0.6667
Pt2 0.0000 0.0847 0.7837
Pt3 0.0000 0.6990 0.9153
Pt4 0.0000 0.2163 0.3010
Pt5 0.5000 0.6539 0.5687
Pt6 0.5000 0.9148 0.3461
Pt7 0.5000 0.4313 0.0852

NdAlPt3 after structural relaxation, computed with GGA-PBE.

Values from the calculation:
SG = Pnma (62)
Energy of formation from the pure elements = -4.889 eV/f.u.
Offset from the most stable computed form = 0 meV/atom
Total magnetization = 0.0 Bohr magnetons per cell
E_tot = -6.3044 eV per atom

Cell: 4.1400 8.4399 10.6879 Å, 90.00 90.00 90.00°
Element x y z (fractional)
Nd1 0.7500 0.8189 0.0099
Nd2 0.2500 0.6811 0.5099
Nd3 0.7500 0.3189 0.4901
Nd4 0.2500 0.1811 0.9901
Al1 0.2500 0.1017 0.6424
Al2 0.2500 0.6017 0.8576
Al3 0.7500 0.3983 0.1424
Al4 0.7500 0.8983 0.3576
Pt1 0.2500 0.5688 0.0865
Pt2 0.7500 0.4312 0.9135
Pt3 0.2500 0.0688 0.4135
Pt4 0.7500 0.9312 0.5865
Pt5 0.2500 0.3863 0.7031
Pt6 0.7500 0.1137 0.2031
Pt7 0.2500 0.8863 0.7969
Pt8 0.7500 0.6494 0.7186
Pt9 0.2500 0.3506 0.2814
Pt10 0.7500 0.1494 0.7814
Pt11 0.7500 0.6137 0.2969
Pt12 0.2500 0.8506 0.2186

Nd2Al5Pt4 after structural relaxation, computed with GGA-PBE.

Values from the calculation:
SG = Fmmm (69)
Energy of formation from the pure elements = -11.142 eV/f.u.
Total magnetization = 0.0 Bohr magnetons per cell
E_tot = -5.7776 eV per atom

Cell: 5.5402 5.5255 8.4284 Å, 80.52 70.81 59.91°
Element x y z (fractional)
Nd1 0.8693 0.0000 0.2614
Nd2 0.1307 0.0000 0.7386
Al1 0.5000 0.0000 0.0000
Al2 0.0000 0.5000 0.0000
Al3 0.5000 0.5000 0.0000
Al4 0.2500 0.5000 0.5000
Al5 0.7500 0.5000 0.5000
Pt1 0.4744 0.3135 0.7376
Pt2 0.5256 0.6865 0.2624
Pt3 0.2120 0.3135 0.2624
Pt4 0.7880 0.6865 0.7376

NdAl4Pt4 after structural relaxation, computed with GGA-PBE.

Values from the calculation:
SG = P4_2/nmc (137)
Energy of formation from the pure elements = -8.587 eV/f.u.
Total magnetization = 0.0 Bohr magnetons per cell
E_tot = -5.8321 eV per atom

Cell: 6.2413 6.2413 8.4183 Å, 90.00 90.00 90.00°
Element x y z (fractional)
Nd1 0.0000 0.0000 0.0000
Nd2 0.5000 0.5000 0.5000
Al1 0.2363 0.5000 0.8925
Al2 0.7637 0.5000 0.8925
Al3 0.5000 0.7637 0.1075
Al4 0.5000 0.2363 0.1075
Al5 0.0000 0.7363 0.3925
Al6 0.0000 0.2637 0.3925
Al7 0.2637 0.0000 0.6075
Al8 0.7363 0.0000 0.6075
Pt1 0.5000 0.7813 0.8059
Pt2 0.5000 0.2187 0.8059
Pt3 0.7813 0.5000 0.1941
Pt4 0.2187 0.5000 0.1941
Pt5 0.2813 0.0000 0.3059
Pt6 0.7187 0.0000 0.3059
Pt7 0.0000 0.2813 0.6941
Pt8 0.0000 0.7187 0.6941

Nd2AlPt after structural relaxation, computed with GGA-PBE.

Values from the calculation:
SG = R-3m (166)
Energy of formation from the pure elements = -0.634 eV/f.u.
Offset from the most stable computed form = 521 meV/atom
Total magnetization = 0.0 Bohr magnetons per cell
E_tot = -4.9884 eV per atom

Cell: 4.0379 4.0379 10.0036 Å, 78.36 78.36 60.00°
Element x y z (fractional)
Nd1 0.1092 0.1092 0.6725
Nd2 0.8908 0.8908 0.3275
Al1 0.0000 0.0000 0.0000
Pt1 0.5000 0.5000 0.5000

Number 1: DOS(E_F) 1.42 states/eV per atom. Number 2: DOS(E_F) 0.70 states/eV per atom. Number 3: DOS(E_F) 0.78 states/eV per atom. Number 4: DOS(E_F) 1.73 states/eV per atom. Number 5: DOS(E_F) 0.81 states/eV per atom. Number 6: DOS(E_F) 1.81 states/eV per atom. Number 7: DOS(E_F) 1.31 states/eV per atom. Number 8: DOS(E_F) 1.27 states/eV per atom. Number 9: DOS(E_F) 1.69 states/eV per atom. Number 10: DOS(E_F) 0.71 states/eV per atom. Number 11: DOS(E_F) 0.70 states/eV per atom. Number 12: DOS(E_F) 0.64 states/eV per atom. Number 13: DOS(E_F) 0.41 states/eV per atom. Number 14: DOS(E_F) 0.60 states/eV per atom. Number 15: DOS(E_F) 0.46 states/eV per atom. Number 16: DOS(E_F) 0.47 states/eV per atom. Number 17: DOS(E_F) 0.74 states/eV per atom. Number 18: DOS(E_F) 0.37 states/eV per atom. Number 19: DOS(E_F) 0.39 states/eV per atom. Number 20: DOS(E_F) 0.25 states/eV per atom. Number 21: DOS(E_F) 0.42 states/eV per atom. Number 22: DOS(E_F) 1.29 states/eV per atom.